# Sr4ErHg5 | the Alexandria database | GGA-PBE | relaxed
data_Sr4ErHg5
_cell_length_a 3.907
_cell_length_b 3.907
_cell_length_c 19.887
_cell_angle_alpha 90.00
_cell_angle_beta 90.00
_cell_angle_gamma 90.00
_symmetry_space_group_name_H-M 'P 4/m m m'
_symmetry_Int_Tables_number 123
_symmetry_space_group_name_Hall '-P 4 2'
loop_
_atom_site_label
_atom_site_type_symbol
_atom_site_fract_x
_atom_site_fract_y
_atom_site_fract_z
Sr1 Sr 0.000 0.000 0.103
Sr2 Sr 0.000 0.000 0.309
Er1 Er 0.000 0.000 0.500
Hg1 Hg 0.500 0.500 0.000
Hg2 Hg 0.500 0.500 0.206
Hg3 Hg 0.500 0.500 0.416
# - Calculated formation energy: -0.5127 eV/atom

# SrErHg6 | the Alexandria database | GGA-PBE | relaxed
data_SrErHg6
_cell_length_a 6.0220
_cell_length_b 6.0220
_cell_length_c 25.9661
_cell_angle_alpha 90.00
_cell_angle_beta 90.00
_cell_angle_gamma 120.00
_symmetry_space_group_name_H-M 'R -3 m'
_symmetry_Int_Tables_number 166
_symmetry_space_group_name_Hall '-R 3 2"'
loop_
_atom_site_label
_atom_site_type_symbol
_atom_site_fract_x
_atom_site_fract_y
_atom_site_fract_z
Sr1 Sr 0.0000 0.0000 0.0000
Er1 Er 0.0000 0.0000 0.5000
Hg1 Hg 0.0036 0.5018 0.4418
# - Calculated formation energy: -0.1207 eV/atom

# Sr3ErHg12 | the Alexandria database | GGA-PBE | relaxed
data_Sr3ErHg12
_cell_length_a 4.808
_cell_length_b 4.808
_cell_length_c 19.030
_cell_angle_alpha 90.00
_cell_angle_beta 90.00
_cell_angle_gamma 90.00
_symmetry_space_group_name_H-M 'P 4/m m m'
_symmetry_Int_Tables_number 123
_symmetry_space_group_name_Hall '-P 4 2'
loop_
_atom_site_label
_atom_site_type_symbol
_atom_site_fract_x
_atom_site_fract_y
_atom_site_fract_z
Sr1 Sr 0.000 0.000 0.000
Sr2 Sr 0.000 0.000 0.257
Er1 Er 0.000 0.000 0.500
Hg1 Hg 0.000 0.500 0.129
Hg2 Hg 0.000 0.500 0.387
Hg3 Hg 0.500 0.500 0.000
Hg4 Hg 0.500 0.500 0.261
Hg5 Hg 0.500 0.500 0.500
# - Calculated formation energy: -0.3555 eV/atom

| no. | Fermi-level density of states (states/eV per cell) |
| --- | --- |
| 1 | 6.8 |
| 2 | 14.4 |
| 3 | 10.5 |